VASP calculation (PBE) on a relaxed structure of V4NiB.

Unit cell a=5.619 b=5.619 c=9.189 alpha=90.00 beta=90.00 gamma=90.00
Space group I4/mcm (No. 140)
Inequivalent atoms, fractional coordinates:
V (0.165, 0.335, 0.146) (multiplicity 16)
Ni (0.000, 0.000, 0.000) (multiplicity 4)
B (0.000, 0.000, 0.250) (multiplicity 4)

VASP calculation (PBE) on a relaxed structure of VNiB2.

Unit cell a=3.483 b=3.483 c=13.774 alpha=90.00 beta=90.00 gamma=90.00
Space group I4_1/amd (No. 141, origin choice 2)
Inequivalent atoms, fractional coordinates:
V (0.000, 0.250, 0.375) (multiplicity 4)
Ni (0.000, 0.250, 0.875) (multiplicity 4)
B (0.000, 0.000, 0.000) (multiplicity 8)

VASP calculation (PBE) on a relaxed structure of V2Ni2B.

Unit cell a=5.158 b=5.158 c=4.207 alpha=90.00 beta=90.00 gamma=90.00
Space group P4/mbm (No. 127)
Inequivalent atoms, fractional coordinates:
V (0.164, 0.336, 0.000) (multiplicity 4)
Ni (0.158, 0.658, 0.500) (multiplicity 4)
B (0.000, 0.000, 0.500) (multiplicity 2)

VASP calculation (PBE) on a relaxed structure of VNiB3.

Unit cell a=3.893 b=3.893 c=3.893 alpha=90.00 beta=90.00 gamma=90.00
Space group Pm-3m (No. 221)
Inequivalent atoms, fractional coordinates:
V (0.000, 0.000, 0.000) (multiplicity 1)
Ni (0.500, 0.500, 0.500) (multiplicity 1)
B (0.000, 0.000, 0.500) (multiplicity 3)

Energy of formation from the pure elements for every record listed, in sequence, given in kJ/mol of atoms: -12.0 20.0 -2.7 140.9.
Ρ for every record listed, in sequence, given in Mg/m³: 6.26 5.22 6.83 4.00.